{
  "formula": "NaGaMoO4",
  "functional": "GGA+U",
  "state": "optimized geometry",
  "spacegroup": "Imma, No. 74",
  "e_tot_ev_per_cell": -86.4,
  "vol_a3_per_atom": 11.94,
  "cell": [[-2.970, 3.234, 4.351], [2.970, -3.234, 4.351], [2.970, 3.234, -4.351]],
  "species": ["Na", "Na", "Ga", "Ga", "Mo", "Mo", "O", "O", "O", "O", "O", "O", "O", "O"],
  "frac_coords": [[0.500, 0.000, 0.000], [0.500, 0.500, 0.500], [0.105, 0.355, 0.750], [0.895, 0.645, 0.250], [0.000, 0.000, 0.000], [0.500, 0.000, 0.500], [0.217, 0.230, 0.986], [0.240, 0.229, 0.489], [0.240, 0.751, 0.011], [0.256, 0.770, 0.486], [0.744, 0.230, 0.514], [0.760, 0.249, 0.989], [0.760, 0.771, 0.511], [0.783, 0.770, 0.014]]
}